No. 1
VASP calculation (PBE-GGA) on an optimized crystal structure of Mn2CrBr.

Cell and atoms, written as extended XYZ:
```
4
Lattice="6.755 -1.619 0.000 6.755 1.619 0.000 -0.376 0.000 3.058" Properties=species:S:1:pos:R:3 pbc="T T T"
Mn 0.000 0.000 0.000
Mn 2.582 0.000 0.382
Cr 7.637 0.000 1.684
Br 10.784 0.000 2.310
```

Computed properties:
DOS(E_F) (states/eV/f.u.): 3.2
Relative energy among the computed polymorphs (meV per atom): 18
Spin magnetization (μB per formula unit): 3.64
Raw total energy (eV/cell): -28.3
Space-group type: Cm (8)
Crystal system: monoclinic

---

No. 2
VASP calculation (PBE-GGA) on an optimized crystal structure of MnCrBr2.

Cell and atoms, written as extended XYZ:
```
4
Lattice="-1.696 1.994 7.897 1.696 -1.994 7.897 1.696 1.994 -7.897" Properties=species:S:1:pos:R:3 pbc="T T T"
Mn 0.000 0.000 0.000
Cr 0.000 1.994 5.443
Br 1.696 0.000 4.898
Br 0.000 0.000 8.896
```

Computed properties:
DOS(E_F) (states/eV/f.u.): 1.6
Relative energy among the computed polymorphs (meV per atom): 147
Spin magnetization (μB per formula unit): 8.71
Raw total energy (eV/cell): -21.4
Space-group type: Imm2 (44)
Crystal system: orthorhombic

---

No. 3
VASP calculation (PBE-GGA) on an optimized crystal structure of MnCr2Br.

Cell and atoms, written as extended XYZ:
```
8
Lattice="-2.639 2.639 5.182 2.639 -2.639 5.182 2.639 2.639 -5.182" Properties=species:S:1:pos:R:3 pbc="T T T"
Mn 0.000 0.000 0.000
Mn 0.000 2.639 2.591
Cr 3.959 1.091 -1.295
Cr 1.091 1.320 1.295
Cr -1.320 1.549 3.886
Cr 1.549 1.320 6.477
Br 2.639 0.000 2.591
Br 0.000 0.000 5.182
```

Computed properties:
DOS(E_F) (states/eV/f.u.): 7.9
Relative energy among the computed polymorphs (meV per atom): 852
Spin magnetization (μB per formula unit): 0.00
Raw total energy (eV/cell): -50.9
Space-group type: I-42d (122)
Crystal system: tetragonal

---

No. 4
VASP calculation (PBE-GGA) on an optimized crystal structure of MnCr2Br.

Cell and atoms, written as extended XYZ:
```
4
Lattice="-2.068 2.068 3.918 2.068 -2.068 3.918 2.068 2.068 -3.918" Properties=species:S:1:pos:R:3 pbc="T T T"
Mn 0.000 0.000 0.000
Cr 0.000 0.000 3.918
Cr 0.000 2.068 1.959
Br 2.068 0.000 1.959
```

Computed properties:
DOS(E_F) (states/eV/f.u.): 2.4
Relative energy among the computed polymorphs (meV per atom): 447
Spin magnetization (μB per formula unit): 3.71
Raw total energy (eV/cell): -27.1
Space-group type: I-4m2 (119)
Crystal system: tetragonal

---

No. 5
VASP calculation (PBE-GGA) on an optimized crystal structure of MnCr2Br.

Cell and atoms, written as extended XYZ:
```
4
Lattice="1.595 0.921 7.772 -1.595 0.921 7.772 0.000 -1.842 7.772" Properties=species:S:1:pos:R:3 pbc="T T T"
Mn 0.000 0.000 0.000
Cr 0.000 0.000 6.017
Cr 0.000 0.000 17.297
Br 0.000 0.000 11.657
```

Computed properties:
DOS(E_F) (states/eV/f.u.): 3.3
Relative energy among the computed polymorphs (meV per atom): 163
Spin magnetization (μB per formula unit): 4.37
Raw total energy (eV/cell): -28.2
Space-group type: R-3m (166)
Crystal system: trigonal

---

No. 6
VASP calculation (PBE-GGA) on an optimized crystal structure of MnCr2Br.

Cell and atoms, written as extended XYZ:
```
4
Lattice="0.000 2.989 2.989 2.989 0.000 2.989 2.989 2.989 0.000" Properties=species:S:1:pos:R:3 pbc="T T T"
Mn 0.000 0.000 0.000
Cr 1.495 1.495 1.495
Cr 2.989 2.989 2.989
Br 4.484 4.484 4.484
```

Computed properties:
DOS(E_F) (states/eV/f.u.): 4.2
Relative energy among the computed polymorphs (meV per atom): 665
Spin magnetization (μB per formula unit): 0.42
Raw total energy (eV/cell): -26.2
Space-group type: F-43m (216)
Crystal system: cubic

---

No. 7
VASP calculation (PBE-GGA) on an optimized crystal structure of MnCrBr.

Cell and atoms, written as extended XYZ:
```
3
Lattice="3.397 0.000 0.000 -1.698 2.942 0.000 0.000 0.000 5.683" Properties=species:S:1:pos:R:3 pbc="T T T"
Mn 0.000 0.000 0.000
Cr 0.000 1.961 4.172
Br 1.698 0.981 2.091
```

Computed properties:
DOS(E_F) (states/eV/f.u.): 0.3
Relative energy among the computed polymorphs (meV per atom): 0
Spin magnetization (μB per formula unit): 0.00
Raw total energy (eV/cell): -19.7
Space-group type: P3m1 (156)
Crystal system: trigonal

---

No. 8
VASP calculation (PBE-GGA) on an optimized crystal structure of MnCr2Br.

Cell and atoms, written as extended XYZ:
```
4
Lattice="4.508 0.000 0.000 0.000 3.123 0.000 -1.332 0.000 4.752" Properties=species:S:1:pos:R:3 pbc="T T T"
Mn 0.000 0.000 0.000
Cr 1.588 0.000 2.376
Cr 2.254 1.561 0.000
Br -0.666 1.561 2.376
```

Computed properties:
DOS(E_F) (states/eV/f.u.): 2.9
Relative energy among the computed polymorphs (meV per atom): 368
Spin magnetization (μB per formula unit): 3.83
Raw total energy (eV/cell): -27.4
Space-group type: P2/m (10)
Crystal system: monoclinic

---

No. 9
VASP calculation (PBE-GGA) on an optimized crystal structure of Mn2CrBr.

Cell and atoms, written as extended XYZ:
```
4
Lattice="-1.951 1.951 4.897 1.951 -1.951 4.897 1.951 1.951 -4.897" Properties=species:S:1:pos:R:3 pbc="T T T"
Mn 1.951 0.000 2.449
Mn 0.000 1.951 2.449
Cr 0.000 0.000 0.000
Br 0.000 0.000 4.897
```

Computed properties:
DOS(E_F) (states/eV/f.u.): 4.3
Relative energy among the computed polymorphs (meV per atom): 592
Spin magnetization (μB per formula unit): 12.61
Raw total energy (eV/cell): -26.0
Space-group type: I4/mmm (139)
Crystal system: tetragonal

---

No. 10
VASP calculation (PBE-GGA) on an optimized crystal structure of MnCrBr2.

Cell and atoms, written as extended XYZ:
```
4
Lattice="1.874 -2.964 0.000 1.874 2.964 0.000 0.000 0.000 9.388" Properties=species:S:1:pos:R:3 pbc="T T T"
Mn 0.000 0.000 0.000
Cr 1.874 0.000 7.179
Br 0.000 0.000 5.531
Br 1.874 0.000 1.686
```

Computed properties:
DOS(E_F) (states/eV/f.u.): 1.9
Relative energy among the computed polymorphs (meV per atom): 60
Spin magnetization (μB per formula unit): 8.55
Raw total energy (eV/cell): -21.8
Space-group type: Cmm2 (35)
Crystal system: orthorhombic

---

No. 11
VASP calculation (PBE-GGA) on an optimized crystal structure of MnCr2Br.

Cell and atoms, written as extended XYZ:
```
4
Lattice="0.000 3.001 3.001 3.001 0.000 3.001 3.001 3.001 0.000" Properties=species:S:1:pos:R:3 pbc="T T T"
Mn 0.000 0.000 0.000
Cr 1.501 1.501 1.501
Cr 4.502 4.502 4.502
Br 3.001 3.001 3.001
```

Computed properties:
DOS(E_F) (states/eV/f.u.): 3.6
Relative energy among the computed polymorphs (meV per atom): 574
Spin magnetization (μB per formula unit): 0.74
Raw total energy (eV/cell): -26.6
Space-group type: Fm-3m (225)
Crystal system: cubic

---

No. 12
VASP calculation (PBE-GGA) on an optimized crystal structure of MnCrBr4.

Cell and atoms, written as extended XYZ:
```
6
Lattice="0.000 4.479 4.479 4.479 0.000 4.479 4.479 4.479 0.000" Properties=species:S:1:pos:R:3 pbc="T T T"
Mn 0.000 0.000 0.000
Cr 2.239 2.239 2.239
Br 5.599 3.358 3.358
Br 3.358 5.599 3.358
Br 3.358 3.358 5.599
Br 5.599 5.599 5.599
```

Computed properties:
DOS(E_F) (states/eV/f.u.): 7.3
Relative energy among the computed polymorphs (meV per atom): 1599
Spin magnetization (μB per formula unit): 2.54
Raw total energy (eV/cell): -20.0
Space-group type: F-43m (216)
Crystal system: cubic

---

No. 13
VASP calculation (PBE-GGA) on an optimized crystal structure of Mn2CrBr.

Cell and atoms, written as extended XYZ:
```
4
Lattice="4.713 0.000 0.000 0.000 4.713 0.000 0.000 0.000 3.150" Properties=species:S:1:pos:R:3 pbc="T T T"
Mn 0.000 2.357 0.000
Mn 2.357 0.000 0.000
Cr 0.000 0.000 1.575
Br 2.357 2.357 1.575
```

Computed properties:
DOS(E_F) (states/eV/f.u.): 4.1
Relative energy among the computed polymorphs (meV per atom): 387
Spin magnetization (μB per formula unit): 4.39
Raw total energy (eV/cell): -26.9
Space-group type: P4/mmm (123)
Crystal system: tetragonal

---

No. 14
VASP calculation (PBE-GGA) on an optimized crystal structure of MnCr2Br.

Cell and atoms, written as extended XYZ:
```
4
Lattice="3.131 0.000 0.000 0.000 3.053 0.000 -0.003 0.000 7.116" Properties=species:S:1:pos:R:3 pbc="T T T"
Mn 0.000 0.000 0.000
Cr 1.560 1.526 5.706
Cr 3.124 0.000 4.343
Br 0.010 1.526 2.124
```

Computed properties:
DOS(E_F) (states/eV/f.u.): 2.3
Relative energy among the computed polymorphs (meV per atom): 13
Spin magnetization (μB per formula unit): 3.99
Raw total energy (eV/cell): -28.8
Space-group type: Pm (6)
Crystal system: monoclinic

---

No. 15
VASP calculation (PBE-GGA) on an optimized crystal structure of MnCrBr6.

Cell and atoms, written as extended XYZ:
```
8
Lattice="3.486 -6.209 0.000 3.486 6.209 0.000 -0.783 0.000 6.236" Properties=species:S:1:pos:R:3 pbc="T T T"
Mn 0.000 0.000 0.000
Cr -0.392 0.000 3.118
Br 0.399 1.727 4.767
Br 0.399 -1.727 4.767
Br 1.783 0.000 1.846
Br 4.406 0.000 4.390
Br 5.790 1.727 1.469
Br 5.790 -1.727 1.469
```

Computed properties:
DOS(E_F) (states/eV/f.u.): 4.7
Spin magnetization (μB per formula unit): 7.00
Raw total energy (eV/cell): -34.3
Space-group type: C2/m (12)
Crystal system: monoclinic

---

No. 16
VASP calculation (PBE-GGA) on an optimized crystal structure of MnCrBr2.

Cell and atoms, written as extended XYZ:
```
4
Lattice="1.815 1.048 7.687 -1.815 1.048 7.687 0.000 -2.096 7.687" Properties=species:S:1:pos:R:3 pbc="T T T"
Mn 0.000 0.000 0.000
Cr 0.000 0.000 11.530
Br 0.000 0.000 5.870
Br 0.000 0.000 17.190
```

Computed properties:
DOS(E_F) (states/eV/f.u.): 1.4
Relative energy among the computed polymorphs (meV per atom): 195
Spin magnetization (μB per formula unit): 9.14
Raw total energy (eV/cell): -21.2
Space-group type: R-3m (166)
Crystal system: trigonal

---

No. 17
VASP calculation (PBE-GGA) on an optimized crystal structure of Mn2CrBr.

Cell and atoms, written as extended XYZ:
```
4
Lattice="2.226 -2.231 0.000 2.226 2.231 0.000 0.000 0.000 7.091" Properties=species:S:1:pos:R:3 pbc="T T T"
Mn 0.000 0.000 0.000
Mn 2.226 0.000 1.603
Cr 0.000 0.000 2.787
Br 2.226 0.000 5.442
```

Computed properties:
DOS(E_F) (states/eV/f.u.): 3.9
Relative energy among the computed polymorphs (meV per atom): 116
Spin magnetization (μB per formula unit): 3.79
Raw total energy (eV/cell): -27.9
Space-group type: Cmm2 (35)
Crystal system: orthorhombic

---

No. 18
VASP calculation (PBE-GGA) on an optimized crystal structure of Mn2CrBr.

Cell and atoms, written as extended XYZ:
```
4
Lattice="2.143 -2.184 0.000 2.143 2.184 0.000 0.000 0.000 7.278" Properties=species:S:1:pos:R:3 pbc="T T T"
Mn 0.000 0.000 1.534
Mn 0.000 0.000 5.745
Cr 2.143 0.000 0.000
Br 2.143 0.000 3.639
```

Computed properties:
DOS(E_F) (states/eV/f.u.): 2.6
Relative energy among the computed polymorphs (meV per atom): 85
Spin magnetization (μB per formula unit): 5.06
Raw total energy (eV/cell): -28.1
Space-group type: Cmmm (65)
Crystal system: orthorhombic

---

No. 19
VASP calculation (PBE-GGA) on an optimized crystal structure of MnCrBr.

Cell and atoms, written as extended XYZ:
```
3
Lattice="0.000 2.641 5.759 1.881 0.000 5.759 1.881 2.641 0.000" Properties=species:S:1:pos:R:3 pbc="T T T"
Mn 0.000 0.000 0.000
Cr 1.881 2.641 4.217
Br 1.881 2.641 7.868
```

Computed properties:
DOS(E_F) (states/eV/f.u.): 0.7
Relative energy among the computed polymorphs (meV per atom): 99
Spin magnetization (μB per formula unit): 0.05
Raw total energy (eV/cell): -19.4
Space-group type: Fmm2 (42)
Crystal system: orthorhombic

---

No. 20
VASP calculation (PBE-GGA) on an optimized crystal structure of Mn2CrBr.

Cell and atoms, written as extended XYZ:
```
4
Lattice="-1.573 2.381 4.374 1.573 -2.381 4.374 1.573 2.381 -4.374" Properties=species:S:1:pos:R:3 pbc="T T T"
Mn 0.000 0.000 2.185
Mn 0.000 0.000 6.562
Cr 0.000 2.381 0.000
Br 1.573 0.000 0.000
```

Computed properties:
DOS(E_F) (states/eV/f.u.): 3.6
Relative energy among the computed polymorphs (meV per atom): 313
Spin magnetization (μB per formula unit): 3.67
Raw total energy (eV/cell): -27.1
Space-group type: Immm (71)
Crystal system: orthorhombic

---

Going through the records in order, we get ΔE_f (raw) values of 31.6 17.0 111.8 72.8 45.4 93.8 23.4 65.2 86.9 8.6 85.0 88.3 67.1 30.9 -66.4 21.6 41.0 38.0 33.0 60.0 kJ/mol of atoms.